First-principles (PBE-GGA) data for an optimized crystal structure of Te2H2S3, as listed in Alexandria via LeMat-Bulk.

Summary:
Uncorrected energy: -24.94 eV per cell
Size of the total moment: 0.00 μB per formula unit

Cell lengths 3.961, 5.746, 7.913 Å; angles 104.48, 104.49, 90.00 degrees
Sites, in units of the cell vectors:
S  0.165  0.628  0.331
S  0.000  0.000  0.000
S  0.835  0.372  0.669
H  0.102  0.408  0.204
H  0.898  0.592  0.796
Te  0.410  0.182  0.820
Te  0.590  0.818  0.180

First-principles (PBE-GGA) data for an optimized crystal structure of SiTe2CI, as listed in Alexandria via LeMat-Bulk.

Summary:
Uncorrected energy: -16.19 eV per cell
Size of the total moment: 0.00 μB per formula unit

Cell lengths 4.823, 4.823, 4.954 Å; angles 90.00, 90.00, 90.00 degrees
Sites, in units of the cell vectors:
Te  0.500  0.000  0.000
Te  0.000  0.500  0.000
Si  0.500  0.500  0.500
I  0.000  0.000  0.500
C  0.000  0.000  0.000

First-principles (PBE-GGA) data for an optimized crystal structure of Ta2CdCl, as listed in Alexandria via LeMat-Bulk.

Summary:
Uncorrected energy: -24.26 eV per cell
Size of the total moment: 0.00 μB per formula unit

Cell lengths 4.969, 6.059, 3.050 Å; angles 73.46, 94.62, 115.49 degrees
Sites, in units of the cell vectors:
Cl  0.500  0.500  0.000
Ta  0.000  0.000  0.000
Ta  0.500  0.000  0.500
Cd  0.000  0.500  0.500